## AgMoO2 (PBE with a Hubbard U)

Data for crystalline AgMoO2 at its relaxed geometry.

Cell lengths 4.7970, 4.7970, 11.3545 Å; angles 90.00, 90.00, 90.00 degrees
Space group I-42d (No. 122)
Unique sites:
1 Ag 0.0000 0.0000 0.0000 (multiplicity 4)
2 Mo 0.0000 0.0000 0.5000 (multiplicity 4)
3 O 0.1809 0.2500 0.6250 (multiplicity 8)

Values from the calculation:
Size of the total moment = 2.8 μB per formula unit
Energy above the most stable polymorph in this dataset = 0.1046 eV per atom
D(E_F) = 3.83 states/eV per cell